[1]
5
Lattice="5.449 0.000 0.000 0.000 5.449 0.000 0.000 0.000 5.449" Properties=species:S:1:pos:R:3 comment="KTe3Mo (PBE, optimized geometry)" volume_a3_per_atom=32.355 e_form_raw_ev_per_atom=-0.061 magmom_total_mub_per_cell=0.040 pbc="T T T"
K 0.000 0.000 0.000
Te 0.000 2.724 2.724
Te 2.724 0.000 2.724
Te 2.724 2.724 0.000
Mo 2.724 2.724 2.724

---

[2]
20
Lattice="5.367 -6.744 0.000 5.367 6.744 0.000 0.000 0.000 6.652" Properties=species:S:1:pos:R:3 comment="Sc3InSe6 (PBE, optimized geometry)" volume_a3_per_atom=24.078 e_form_raw_ev_per_atom=-1.311 magmom_total_mub_per_cell=0.000 pbc="T T T"
Sc 5.367 5.513 3.326
Sc 3.372 1.290 4.000
Sc 3.372 -1.290 0.674
Sc 7.363 1.290 4.000
Sc 7.363 -1.290 0.674
Sc 5.367 -5.513 0.000
In 5.367 2.785 0.786
In 5.367 -2.785 4.112
Se 3.456 3.778 2.265
Se 1.756 0.498 1.982
Se 1.756 -0.498 5.308
Se 5.367 2.972 4.869
Se 7.278 3.778 2.265
Se 5.367 0.427 1.991
Se 5.367 -0.427 5.317
Se 3.456 -3.778 5.591
Se 5.367 -2.972 1.543
Se 8.979 0.498 1.982
Se 8.979 -0.498 5.308
Se 7.278 -3.778 5.591

---

[3]
4
Lattice="4.069 0.000 0.000 0.000 4.069 0.000 0.000 0.000 7.352" Properties=species:S:1:pos:R:3 comment="La2SmGe (PBE, optimized geometry)" volume_a3_per_atom=30.436 magmom_total_mub_per_cell=0.002 formation_enthalpy_0k_kj_per_mol_fu=-130.7 e_above_lowest_polymorph_ev_per_fu=0.46 pbc="T T T"
La 0.000 0.000 1.501
La 0.000 0.000 5.851
Sm 2.035 2.035 3.676
Ge 2.035 2.035 0.000

---

[4]
4
Lattice="1.452 0.838 8.211 -1.452 0.838 8.211 0.000 -1.677 8.211" Properties=species:S:1:pos:R:3 comment="Ta2WN (PBE, optimized geometry)" volume_a3_per_atom=14.994 e_form_raw_ev_per_atom=0.047 magmom_total_mub_per_cell=0.000 pbc="T T T"
Ta 0.000 0.000 2.692
Ta 0.000 0.000 21.941
W 0.000 0.000 0.000
N 0.000 0.000 12.317

---

[5]
8
Lattice="-1.916 1.916 10.041 1.916 -1.916 10.041 1.916 1.916 -10.041" Properties=species:S:1:pos:R:3 comment="ScRe2Au (PBE, optimized geometry)" volume_a3_per_atom=18.438 magmom_total_mub_per_cell=0.000 formation_enthalpy_0k_kj_per_mol_fu=149.7 e_above_lowest_polymorph_ev_per_fu=2.05 pbc="T T T"
Sc 0.000 0.000 0.000
Sc 0.000 1.916 5.020
Re 2.875 0.782 -2.510
Re 0.782 0.958 2.510
Re -0.958 1.134 7.530
Re 1.134 0.958 12.551
Au 1.916 0.000 5.020
Au 0.000 0.000 10.041

---

[6]
2
Lattice="3.905 0.000 0.000 -1.953 3.382 0.000 0.000 0.000 6.258" Properties=species:S:1:pos:R:3 comment="KMg (PBE, optimized geometry)" volume_a3_per_atom=41.328 magmom_total_mub_per_cell=0.000 formation_enthalpy_0k_kj_per_mol_fu=57.5 pbc="T T T"
K 0.000 0.000 0.000
Mg 0.000 2.255 3.129

---

[7]
8
Lattice="8.489 -2.934 0.000 8.489 2.934 0.000 -2.177 0.000 5.714" Properties=species:S:1:pos:R:3 comment="La3Pr3Er2 (PBE, optimized geometry)" volume_a3_per_atom=35.572 magmom_total_mub_per_cell=0.000 formation_enthalpy_0k_kj_per_mol_fu=51.0 e_above_lowest_polymorph_ev_per_fu=0.36 pbc="T T T"
La 0.000 0.000 0.000
La 1.029 0.000 3.317
La 13.772 0.000 2.396
Pr 4.406 0.000 4.618
Pr 7.401 0.000 2.857
Pr 10.395 0.000 1.095
Er 3.862 0.000 1.044
Er 10.939 0.000 4.670

---

[8]
8
Lattice="7.103 0.000 0.000 0.000 4.102 0.000 -2.355 0.000 6.715" Properties=species:S:1:pos:R:3 comment="LiSm2YSe4 (PBE, optimized geometry)" volume_a3_per_atom=24.455 e_form_raw_ev_per_atom=-1.761 magmom_total_mub_per_cell=0.000 pbc="T T T"
Li 0.000 0.000 0.000
Sm -1.177 2.051 3.357
Sm 2.374 0.000 3.357
Y 3.551 2.051 0.000
Se 1.160 2.051 1.592
Se -0.036 0.000 5.118
Se 4.784 0.000 1.597
Se 3.588 2.051 5.123

---

[9]
5
Lattice="4.744 0.000 0.000 0.000 4.744 0.000 0.000 0.000 5.031" Properties=species:S:1:pos:R:3 comment="TlSiSe2F (PBE, optimized geometry)" volume_a3_per_atom=22.646 e_form_raw_ev_per_atom=0.288 magmom_total_mub_per_cell=0.000 e_above_lowest_polymorph_ev_per_fu=1.19 pbc="T T T"
Tl 0.000 0.000 0.000
Si 2.372 2.372 0.000
Se 0.000 2.372 2.515
Se 2.372 0.000 2.515
F 0.000 0.000 2.515

---

[10]
4
Lattice="4.262 0.000 0.000 0.000 4.262 0.000 0.000 0.000 4.254" Properties=species:S:1:pos:R:3 comment="Zr2InNi (PBE, optimized geometry)" volume_a3_per_atom=19.313 magmom_total_mub_per_cell=0.197 formation_enthalpy_0k_kj_per_mol_fu=-76.4 pbc="T T T"
Zr 0.000 2.131 0.000
Zr 2.131 0.000 0.000
In 0.000 0.000 2.127
Ni 2.131 2.131 2.127

---

[11]
5
Lattice="5.196 0.000 0.000 0.000 5.196 0.000 0.000 0.000 5.196" Properties=species:S:1:pos:R:3 comment="LiLaTe3 (PBE, optimized geometry)" volume_a3_per_atom=28.058 e_form_raw_ev_per_atom=-0.673 magmom_total_mub_per_cell=0.000 e_above_lowest_polymorph_ev_per_fu=0.00 pbc="T T T"
Li 0.000 0.000 0.000
La 2.598 2.598 2.598
Te 0.000 0.000 2.598
Te 0.000 2.598 0.000
Te 2.598 0.000 0.000

---

[12]
6
Lattice="0.000 3.375 3.375 3.375 0.000 3.375 3.375 3.375 0.000" Properties=species:S:1:pos:R:3 comment="MgFe4Mo (PBE, optimized geometry)" volume_a3_per_atom=12.815 magmom_total_mub_per_cell=6.173 formation_enthalpy_0k_kj_per_mol_fu=25.3 pbc="T T T"
Mg 0.000 0.000 0.000
Fe 2.533 2.533 2.533
Fe 4.217 4.217 2.533
Fe 4.217 2.533 4.217
Fe 2.533 4.217 4.217
Mo 5.063 5.063 5.063